Density functional theory data (PBEsol) for a geometry-optimized P2RuWCl structure.

Cell: 4.6522 4.6522 4.5736 Å, 90.00 90.00 90.00°
Positions (direct):
P (0.0000, 0.5000, 0.0000)
P (0.5000, 0.0000, 0.0000)
Ru (0.0000, 0.0000, 0.5000)
W (0.5000, 0.5000, 0.0000)
Cl (0.5000, 0.5000, 0.5000)

space-group type	No. 123
uncorrected formation energy	5.80	eV/f.u.